(1)
Density functional theory data (GGA-PBE) for a relaxed RuPtOF2 crystal.

Geometry as POSCAR:
```
RuPtOF2
1.0
4.310 0.000 0.000
0.000 4.310 0.000
0.000 0.000 3.671
F O Ru Pt
2 1 1 1
direct
0.500 0.000 0.000 F
0.000 0.500 0.000 F
0.000 0.000 0.500 O
0.000 0.000 0.000 Ru
0.500 0.500 0.500 Pt
```

Computed properties:
D(E_F) in states/eV per atom: 1.382

---

(2)
Density functional theory data (GGA-PBE) for a relaxed RuPtOF2 crystal.

Geometry as POSCAR:
```
RuPtOF2
1.0
4.479 0.000 0.000
0.000 4.479 0.000
0.000 0.000 3.798
Ru F O Pt
1 2 1 1
direct
0.500 0.500 0.500 Ru
0.500 0.000 0.000 F
0.000 0.500 0.000 F
0.000 0.000 0.500 O
0.000 0.000 0.000 Pt
```

Computed properties:
D(E_F) in states/eV per atom: 1.053

---

Of them, (1) has the highest stability.